[1]
First-principles (PBE) data for a relaxed structure of AuIN2, as listed in Alexandria.

Structure (POSCAR):
```
AuIN2
1.0
0.0000 3.0255 3.0255
3.0255 0.0000 3.0255
3.0255 3.0255 0.0000
N I Au
2 1 1
Cartesian
1.5127 1.5127 1.5127 N
4.5382 4.5382 4.5382 N
0.0000 0.0000 0.0000 I
3.0255 3.0255 3.0255 Au
```

Results
* volume: 55 Å³/f.u.
* formation energy (no corrections): 9.4 eV/f.u.
* size of the total moment: 0.00 μB per formula unit
* polymorph energy (0 for the lowest one): 2264 meV per atom

=====

[2]
First-principles (PBE) data for a relaxed structure of EuMgCu, as listed in Alexandria.

Structure (POSCAR):
```
EuMgCu
1.0
-2.9092 1.8533 -3.3985
0.2212 -1.6590 -4.5439
-3.6334 -2.6554 -1.7876
Mg Cu Eu
1 1 1
Cartesian
-3.1607 -1.2305 -4.8649 Mg
-1.5803 -0.6153 -2.4325 Cu
0.0000 0.0000 0.0000 Eu
```

Results
* volume: 80 Å³/f.u.
* size of the total moment: 7.37 μB per formula unit
* formation energy: 4 meV/atom

=====

[3]
First-principles (PBE) data for a relaxed structure of ErLuPu4, as listed in Alexandria.

Structure (POSCAR):
```
ErLuPu4
1.0
-4.0900 -3.5365 2.8923
-0.1547 -6.0316 -1.0937
1.8621 -3.9459 4.3084
Lu Pu Er
1 4 1
Cartesian
0.0000 0.0000 0.0000 Lu
0.5556 -6.6780 2.3709 Pu
-2.4200 -6.4733 1.6629 Pu
-1.4891 -8.4460 3.8167 Pu
-1.4118 -5.4307 4.3635 Pu
-0.5957 -3.3785 1.5267 Er
```

Results
* volume: 163 Å³/f.u.
* size of the total moment: 22.63 μB per formula unit
* formation energy: 228 meV/atom